Record 1
# Sc2PdS

An optimized crystal structure of Sc2PdS (PBE-GGA, the Alexandria database).

```
Sc2PdS
1.0
-8.210 -0.106 -1.544
-8.057 -1.662 1.459
-8.071 1.721 1.304
S Pd Sc
1 1 2
direct
0.500 0.500 0.500
0.000 0.000 0.000
0.898 0.898 0.898
0.102 0.102 0.102
```

Computed properties:
As for the space-group type: R-3m. Its volume is 80.67 Å³ per cell. The calculation puts the theoretical density at 4.7 g/cm³. For the density of states at the Fermi level, the calculation gives 2.91 states/eV/f.u. Its formation energy from raw total energies is -3.2 eV per formula unit. The value obtained for the calculated total energy is -6.288 eV/atom.


Record 2
# RbScNiSe3

An optimized crystal structure of RbScNiSe3 (PBE-GGA, the Alexandria database).

```
RbScNiSe3
1.0
3.935 0.000 0.000
0.000 9.224 0.360
0.000 -4.059 8.855
Se Sc Rb Ni
6 2 2 2
direct
0.250 0.807 0.452
0.250 0.528 0.841
0.750 0.472 0.159
0.750 0.873 0.144
0.250 0.127 0.856
0.750 0.193 0.548
0.250 0.668 0.137
0.750 0.332 0.863
0.750 0.791 0.761
0.250 0.209 0.239
0.250 0.078 0.596
0.750 0.922 0.404
```

Computed properties:
As for the space-group type: P2_1/m. Its volume is 327.15 Å³ per cell. The calculation puts the theoretical density at 4.3 g/cm³. For the density of states at the Fermi level, the calculation gives 2.53 states/eV/f.u. Its formation energy from raw total energies is -6.8 eV per formula unit. The value obtained for the calculated total energy is -5.048 eV/atom.


Record 3
# As2P

An optimized crystal structure of As2P (PBE-GGA, the Alexandria database).

```
As2P
1.0
1.282 2.370 -2.446
-1.845 1.197 2.900
8.484 0.687 5.113
P As
2 4
direct
0.000 0.000 0.250
0.000 0.000 0.750
0.333 0.667 0.583
0.667 0.333 0.083
0.333 0.667 0.917
0.667 0.333 0.417
```

Computed properties:
As for the space-group type: P6_3/mmc. Its volume is 113.90 Å³ per cell. The calculation puts the theoretical density at 5.3 g/cm³. For the density of states at the Fermi level, the calculation gives 1.45 states/eV/f.u. The value obtained for the calculated total energy is -4.608 eV/atom. The formation enthalpy at 0 K is 0.89 eV/f.u.


Record 4
# LaDyPt2

An optimized crystal structure of LaDyPt2 (PBE-GGA, the Alexandria database).

```
LaDyPt2
1.0
4.831 0.000 0.000
2.416 4.184 0.000
2.416 1.395 4.694
Pt Dy La
2 1 1
direct
0.226 0.226 0.323
0.774 0.774 0.677
0.500 0.500 0.500
0.000 0.000 0.000
```

Computed properties:
As for the space-group type: R-3m. Its volume is 94.89 Å³ per cell. The calculation puts the theoretical density at 12.1 g/cm³. For the density of states at the Fermi level, the calculation gives 2.58 states/eV/f.u. The value obtained for the calculated total energy is -6.534 eV/atom. The formation enthalpy at 0 K is -4.52 eV/f.u.


Record 5
# LaPmDy2Tl2

An optimized crystal structure of LaPmDy2Tl2 (PBE-GGA, the Alexandria database).

```
LaPmDy2Tl2
1.0
5.176 0.000 0.000
0.000 6.859 0.000
0.000 0.000 10.284
Dy Pm Tl La
4 2 4 2
direct
0.500 0.556 0.958
0.000 0.836 0.817
0.500 0.056 0.042
0.000 0.336 0.183
0.500 0.187 0.693
0.500 0.687 0.307
0.500 0.218 0.355
0.000 0.800 0.124
0.500 0.718 0.645
0.000 0.300 0.876
0.000 0.948 0.455
0.000 0.448 0.545
```

Computed properties:
As for the space-group type: Pmc2_1. Its volume is 365.16 Å³ per cell. The calculation puts the theoretical density at 9.3 g/cm³. For the density of states at the Fermi level, the calculation gives 6.69 states/eV/f.u. The value obtained for the calculated total energy is -4.208 eV/atom. The formation enthalpy at 0 K is -1.63 eV/f.u.


Record 6
# Sm3Y4Ho5

An optimized crystal structure of Sm3Y4Ho5 (PBE-GGA, the Alexandria database).

```
Sm3Y4Ho5
1.0
-4.004 -5.421 -2.336
11.131 0.416 1.745
-11.970 -2.283 4.079
Ho Y Sm
5 4 3
direct
0.500 0.000 0.500
0.250 0.501 0.000
0.750 0.499 0.000
0.667 0.333 0.165
0.333 0.667 0.835
0.083 0.166 0.333
0.168 0.335 0.167
0.832 0.665 0.833
0.917 0.834 0.667
0.581 0.165 0.333
0.419 0.835 0.667
0.000 0.000 0.500
```

Computed properties:
As for the space-group type: P-1. Its volume is 384.31 Å³ per cell. The calculation puts the theoretical density at 7.0 g/cm³. For the density of states at the Fermi level, the calculation gives 16.12 states/eV/f.u. The value obtained for the calculated total energy is -5.222 eV/atom. The formation enthalpy at 0 K is 0.24 eV/f.u.


Record 7
# Te2Cl

An optimized crystal structure of Te2Cl (PBE-GGA, the Alexandria database).

```
Te2Cl
1.0
-6.044 9.603 5.111
2.701 -11.094 -4.951
0.812 -1.430 3.648
Cl Te
2 4
direct
0.878 0.122 0.250
0.122 0.878 0.750
0.460 0.540 0.750
0.540 0.460 0.250
0.778 0.222 0.750
0.222 0.778 0.250
```

Computed properties:
As for the space-group type: Cmcm. Its volume is 180.45 Å³ per cell. The calculation puts the theoretical density at 5.3 g/cm³. For the density of states at the Fermi level, the calculation gives 0.74 states/eV/f.u. Its formation energy from raw total energies is -0.3 eV per formula unit. The value obtained for the calculated total energy is -2.809 eV/atom.


Record 8
# Ac2La5Ho6

An optimized crystal structure of Ac2La5Ho6 (PBE-GGA, the Alexandria database).

```
Ac2La5Ho6
1.0
3.684 0.000 0.000
0.000 12.013 0.000
0.000 0.000 21.052
Ho La Ac
12 10 4
direct
0.500 0.692 0.883
0.000 0.931 0.933
0.000 0.569 0.433
0.000 0.069 0.067
0.500 0.192 0.617
0.000 0.442 0.856
0.000 0.058 0.356
0.500 0.308 0.117
0.000 0.942 0.644
0.000 0.431 0.567
0.000 0.558 0.144
0.500 0.808 0.383
0.500 0.000 0.500
0.500 0.700 0.563
0.500 0.573 0.293
0.500 0.800 0.063
0.500 0.927 0.793
0.500 0.427 0.707
0.500 0.500 0.000
0.500 0.200 0.937
0.500 0.300 0.437
0.500 0.073 0.207
0.000 0.185 0.769
0.000 0.315 0.269
0.000 0.685 0.731
0.000 0.815 0.231
```

Computed properties:
As for the space-group type: Pbam. Its volume is 931.73 Å³ per cell. The calculation puts the theoretical density at 7.6 g/cm³. For the density of states at the Fermi level, the calculation gives 19.47 states/eV/f.u. The value obtained for the calculated total energy is -4.535 eV/atom. The formation enthalpy at 0 K is 1.36 eV/f.u.


Record 9
# In2SiRh

An optimized crystal structure of In2SiRh (PBE-GGA, the Alexandria database).

```
In2SiRh
1.0
9.317 0.000 0.000
0.000 9.317 0.000
4.658 4.658 2.260
In Rh Si
4 2 2
direct
0.875 0.997 0.750
0.747 0.125 0.250
0.003 0.625 0.250
0.375 0.253 0.750
0.000 0.000 0.000
0.750 0.250 0.500
0.500 0.500 0.000
0.250 0.750 0.500
```

Computed properties:
As for the space-group type: I-42d. Its volume is 196.17 Å³ per cell. The calculation puts the theoretical density at 6.1 g/cm³. For the density of states at the Fermi level, the calculation gives 2.59 states/eV/f.u. Its formation energy from raw total energies is 0.0 eV per formula unit. The value obtained for the calculated total energy is -4.571 eV/atom.


Record 10
# Tb9Pm4Nd11

An optimized crystal structure of Tb9Pm4Nd11 (PBE-GGA, the Alexandria database).

```
Tb9Pm4Nd11
1.0
3.722 0.000 0.000
0.000 14.234 -6.054
0.000 0.027 15.468
Nd Tb Pm
11 9 4
direct
0.000 0.406 0.044
0.000 0.044 0.406
0.000 0.290 0.290
0.000 0.367 0.633
0.000 0.633 0.367
0.000 0.956 0.594
0.000 0.594 0.956
0.000 0.160 0.840
0.000 0.000 0.000
0.000 0.840 0.160
0.000 0.710 0.710
0.500 0.366 0.836
0.500 0.500 0.500
0.500 0.836 0.366
0.500 0.066 0.212
0.500 0.788 0.934
0.500 0.934 0.788
0.500 0.634 0.164
0.500 0.164 0.634
0.500 0.212 0.066
0.500 0.243 0.445
0.500 0.445 0.243
0.500 0.555 0.757
0.500 0.757 0.555
```

Computed properties:
As for the space-group type: Cmmm. Its volume is 820.06 Å³ per cell. The calculation puts the theoretical density at 7.3 g/cm³. For the density of states at the Fermi level, the calculation gives 31.46 states/eV/f.u. The value obtained for the calculated total energy is -4.653 eV/atom. The formation enthalpy at 0 K is 1.45 eV/f.u.


Record 11
# HoThTe2

An optimized crystal structure of HoThTe2 (PBE-GGA, the Alexandria database).

```
HoThTe2
1.0
-1.920 3.507 -1.167
-3.353 -0.182 -2.464
-6.502 0.670 5.278
Ho Th Te
1 1 2
direct
0.668 0.668 0.997
0.499 0.499 0.503
0.079 0.079 0.764
0.255 0.255 0.236
```

Computed properties:
As for the space-group type: R3m. Its volume is 120.93 Å³ per cell. The calculation puts the theoretical density at 9.0 g/cm³. For the density of states at the Fermi level, the calculation gives 3.13 states/eV/f.u. Its formation energy from raw total energies is -4.6 eV per formula unit. The value obtained for the calculated total energy is -5.716 eV/atom.